# YNi3Hg, optimized geometry, DFT PBE
# * calculated formation energy: 5.9 eV/f.u.
# * ΔE to the lowest computed polymorph: 0.514 eV per atom
# * magnetic moment: 0.00 μB/cell
# * E_tot: -3.65 eV per atom
data_YNi3Hg
_cell_length_a 4.726
_cell_length_b 4.726
_cell_length_c 4.726
_cell_angle_alpha 90.00
_cell_angle_beta 90.00
_cell_angle_gamma 90.00
_space_group_name_H-M_alt 'P m -3 m'
_space_group_IT_number 221
_space_group_name_Hall '-P 4 2 3'
loop_
_atom_site_label
_atom_site_fract_x
_atom_site_fract_y
_atom_site_fract_z
Y1 0.000 0.000 0.000
Ni1 0.000 0.000 0.500
Hg1 0.500 0.500 0.500

# Y12Ni5Hg, optimized geometry, DFT PBE
# * calculated formation energy: -5.8 eV/f.u.
# * magnetic moment: 0.00 μB/cell
# * E_tot: -6.25 eV per atom
data_Y12Ni5Hg
_cell_length_a 9.411
_cell_length_b 9.576
_cell_length_c 9.874
_cell_angle_alpha 90.00
_cell_angle_beta 90.00
_cell_angle_gamma 90.00
_space_group_name_H-M_alt 'I m m m'
_space_group_IT_number 71
_space_group_name_Hall '-I 2 2'
loop_
_atom_site_label
_atom_site_fract_x
_atom_site_fract_y
_atom_site_fract_z
Y1 0.000 0.189 0.220
Y2 0.195 0.500 0.176
Y3 0.211 0.319 0.500
Ni1 0.000 0.000 0.000
Ni2 0.000 0.361 0.000
Ni3 0.000 0.500 0.378
Hg1 0.000 0.000 0.500

# Y2NiHg2, optimized geometry, DFT PBE
# * calculated formation energy: -1.0 eV/f.u.
# * ΔE to the lowest computed polymorph: 0.000 eV per atom
# * magnetic moment: 0.00 μB/cell
# * E_tot: -4.07 eV per atom
data_Y2NiHg2
_cell_length_a 7.251
_cell_length_b 7.251
_cell_length_c 4.530
_cell_angle_alpha 90.00
_cell_angle_beta 90.00
_cell_angle_gamma 90.00
_space_group_name_H-M_alt 'P 4/m b m'
_space_group_IT_number 127
_space_group_name_Hall '-P 4 2ab'
loop_
_atom_site_label
_atom_site_fract_x
_atom_site_fract_y
_atom_site_fract_z
Y1 0.170 0.330 0.000
Ni1 0.000 0.000 0.500
Hg1 0.142 0.642 0.500

# Y4NiHg3, optimized geometry, DFT PBE
# * calculated formation energy: -3.7 eV/f.u.
# * magnetic moment: 0.00 μB/cell
# * E_tot: -4.53 eV per atom
data_Y4NiHg3
_cell_length_a 3.599
_cell_length_b 3.599
_cell_length_c 15.049
_cell_angle_alpha 90.00
_cell_angle_beta 90.00
_cell_angle_gamma 90.00
_space_group_name_H-M_alt 'P 4/m m m'
_space_group_IT_number 123
_space_group_name_Hall '-P 4 2'
loop_
_atom_site_label
_atom_site_fract_x
_atom_site_fract_y
_atom_site_fract_z
Y1 0.000 0.000 0.107
Y2 0.000 0.000 0.370
Ni1 0.500 0.500 0.000
Hg1 0.500 0.500 0.242
Hg2 0.500 0.500 0.500

# Y3NiHg, optimized geometry, DFT PBE
# * calculated formation energy: -1.3 eV/f.u.
# * ΔE to the lowest computed polymorph: 0.066 eV per atom
# * magnetic moment: 0.00 μB/cell
# * E_tot: -5.36 eV per atom
data_Y3NiHg
_cell_length_a 9.815
_cell_length_b 14.388
_cell_length_c 3.859
_cell_angle_alpha 90.00
_cell_angle_beta 90.00
_cell_angle_gamma 90.00
_space_group_name_H-M_alt 'C m m m'
_space_group_IT_number 65
_space_group_name_Hall '-C 2 2'
loop_
_atom_site_label
_atom_site_fract_x
_atom_site_fract_y
_atom_site_fract_z
Y1 0.000 0.178 0.000
Y2 0.196 0.378 0.500
Ni1 0.250 0.250 0.000
Hg1 0.000 0.000 0.500
Hg2 0.000 0.500 0.000

# Y2NiHg2, optimized geometry, DFT PBE
# * calculated formation energy: 0.2 eV/f.u.
# * ΔE to the lowest computed polymorph: 0.252 eV per atom
# * magnetic moment: 0.00 μB/cell
# * E_tot: -3.81 eV per atom
data_Y2NiHg2
_cell_length_a 3.906
_cell_length_b 3.906
_cell_length_c 16.999
_cell_angle_alpha 90.00
_cell_angle_beta 90.00
_cell_angle_gamma 90.00
_space_group_name_H-M_alt 'I 4/m m m'
_space_group_IT_number 139
_space_group_name_Hall '-I 4 2'
loop_
_atom_site_label
_atom_site_fract_x
_atom_site_fract_y
_atom_site_fract_z
Y1 0.000 0.000 0.093
Ni1 0.000 0.000 0.500
Hg1 0.000 0.500 0.250

# Y2NiHg, optimized geometry, DFT PBE
# * calculated formation energy: -1.1 eV/f.u.
# * magnetic moment: 0.00 μB/cell
# * E_tot: -5.03 eV per atom
data_Y2NiHg
_cell_length_a 3.471
_cell_length_b 4.775
_cell_length_c 11.229
_cell_angle_alpha 90.00
_cell_angle_beta 90.00
_cell_angle_gamma 90.00
_space_group_name_H-M_alt 'I m m 2'
_space_group_IT_number 44
loop_
_space_group_symop_operation_xyz
'x,y,z'
'-x,-y,z'
'-x,y,z'
'x,-y,z'
'x+1/2,y+1/2,z+1/2'
'-x+1/2,-y+1/2,z+1/2'
'-x+1/2,y+1/2,z+1/2'
'x+1/2,-y+1/2,z+1/2'
loop_
_atom_site_label
_atom_site_fract_x
_atom_site_fract_y
_atom_site_fract_z
Y1 0.000 0.000 0.000
Y2 0.000 0.500 0.208
Ni1 0.000 0.000 0.504
Hg1 0.000 0.500 0.804

# Y3NiHg, optimized geometry, DFT PBE
# * calculated formation energy: -0.7 eV/f.u.
# * ΔE to the lowest computed polymorph: 0.194 eV per atom
# * magnetic moment: 0.00 μB/cell
# * E_tot: -5.23 eV per atom
data_Y3NiHg
_cell_length_a 5.216
_cell_length_b 5.216
_cell_length_c 5.216
_cell_angle_alpha 90.00
_cell_angle_beta 90.00
_cell_angle_gamma 90.00
_space_group_name_H-M_alt 'P m -3 m'
_space_group_IT_number 221
_space_group_name_Hall '-P 4 2 3'
loop_
_atom_site_label
_atom_site_fract_x
_atom_site_fract_y
_atom_site_fract_z
Y1 0.000 0.000 0.500
Ni1 0.000 0.000 0.000
Hg1 0.500 0.500 0.500